HfNiNO2 | GGA+U | relaxed Values from VASP.

Results
Its uncorrected energy is -6.959 eV per atom. For the density, the calculation gives 9.47 g/cm3.

Quantum ESPRESSO input file:
```
&SYSTEM
  ibrav = 0, nat = 5, ntyp = 4
/
ATOMIC_SPECIES
Ni 58.69 Ni.upf
Hf 178.49 Hf.upf
O 16.00 O.upf
N 14.01 N.upf
ATOMIC_POSITIONS crystal
Ni 0.000 0.000 0.000
Hf 0.500 0.500 0.500
O 0.000 0.500 0.000
O 0.500 0.000 0.000
N 0.000 0.000 0.500
CELL_PARAMETERS angstrom
-2.786 -1.933 -1.273
-0.710 -1.182 3.349
-2.302 2.953 0.554
```